(1)
Here is CuSiO2F at its PBEsol-relaxed geometry from Alexandria via LeMat-Bulk. Energies are from meta-GGA SCAN.

```
CuSiO2F
1.0
3.462 0.000 0.000
0.000 3.462 0.000
0.000 0.000 3.708
Cu O Si F
1 2 1 1
Direct
0.500 0.500 0.500 Cu
0.000 0.500 0.000 O
0.500 0.000 0.000 O
0.000 0.000 0.000 Si
0.000 0.000 0.500 F
```

## Properties
- Total moment: 0.0 μB/f.u.

***

(2)
Here is CuSiOF2 at its PBEsol-relaxed geometry from Alexandria via LeMat-Bulk. Energies are from meta-GGA SCAN.

```
CuSiOF2
1.0
3.856 0.000 0.000
0.000 3.856 0.000
0.000 0.000 3.857
F Cu Si O
2 1 1 1
Direct
0.000 0.500 0.000 F
0.500 0.000 0.000 F
0.000 0.000 0.000 Cu
0.500 0.500 0.500 Si
0.000 0.000 0.500 O
```

## Properties
- Total moment: 0.0 μB/f.u.

***

(3)
Here is TaCuO2F at its PBEsol-relaxed geometry from Alexandria via LeMat-Bulk. Energies are from meta-GGA SCAN.

```
TaCuO2F
1.0
3.674 0.000 0.000
0.000 3.816 0.000
0.000 0.000 3.816
Ta O F Cu
1 2 1 1
Direct
0.500 0.500 0.500 Ta
0.000 0.500 0.000 O
0.000 0.000 0.500 O
0.500 0.000 0.000 F
0.000 0.000 0.000 Cu
```

## Properties
- Total moment: 2.1 μB/f.u.

***

The following formation energy (no corrections) values (in eV/atom) correspond, in order, to the records above: -1.755, -0.801, -0.506.